A relaxed structure of ZrBe2H6, computed with PBE-GGA.

As for the uncorrected energy: -3.31 eV/atom. As for the space group: No. 225.

Cell lengths 4.6749, 4.6749, 4.6749 Å; angles 60.00, 60.00, 60.00 degrees
Atoms (fractional coordinates):
H 0.2885 0.7115 0.2885
H 0.7115 0.2885 0.2885
H 0.2885 0.2885 0.7115
Be 0.2500 0.2500 0.2500
H 0.7115 0.7115 0.2885
Be 0.7500 0.7500 0.7500
Zr 0.0000 0.0000 0.0000
H 0.7115 0.2885 0.7115
H 0.2885 0.7115 0.7115